1.
DFT (PBE-GGA) results for Nd3Ho4Mg after structural relaxation.

It has space group Immm (No. 71), with a = 4.952 Å, b = 5.024 Å, c = 20.356 Å, α = 90.00°, β = 90.00° and γ = 90.00°. The distinct sites, in fractional coordinates, are Nd at (0.000, 0.000, 0.000), Nd at (0.000, 0.500, 0.125), Ho at (0.000, 0.000, 0.248), Ho at (0.000, 0.500, 0.374) and Mg at (0.000, 0.000, 0.500).

The density of states at the Fermi level is 23.939 states/eV/cell. The relative energy among the computed polymorphs comes out at 0.0163 eV/atom. The calculation puts the size of the total moment at 0.000 μB per atom. The calculation puts the formation energy at 0.02 eV/atom.

2.
DFT (PBE-GGA) results for Nd6Ho3Mg after structural relaxation.

It has space group P2_1/m (No. 11), with a = 13.141 Å, b = 3.543 Å, c = 14.505 Å, α = 90.00°, β = 100.46° and γ = 90.00°. The distinct sites, in fractional coordinates, are Nd at (0.004, 0.250, 0.312), Nd at (0.159, 0.250, 0.882), Nd at (0.237, 0.750, 0.299), Nd at (0.280, 0.750, 0.714), Nd at (0.311, 0.750, 0.078), Nd at (0.381, 0.250, 0.522), Ho at (0.078, 0.250, 0.097), Ho at (0.131, 0.750, 0.502), Ho at (0.428, 0.250, 0.901) and Mg at (0.463, 0.250, 0.277).

The density of states at the Fermi level is 28.037 states/eV/cell. The relative energy among the computed polymorphs comes out at 0.0000 eV/atom. The calculation puts the size of the total moment at 0.000 μB per atom. The calculation puts the formation energy at 0.07 eV/atom.

3.
DFT (PBE-GGA) results for Nd8HoMg2 after structural relaxation.

It has space group C2/m (No. 12), with a = 17.934 Å, b = 5.165 Å, c = 8.232 Å, α = 90.00°, β = 108.43° and γ = 90.00°. The distinct sites, in fractional coordinates, are Nd at (0.050, 0.000, 0.235), Nd at (0.094, 0.500, 0.959), Nd at (0.140, 0.000, 0.697), Nd at (0.184, 0.500, 0.435), Ho at (0.000, 0.500, 0.500) and Mg at (0.227, 0.000, 0.133).

The density of states at the Fermi level is 32.228 states/eV/cell. The relative energy among the computed polymorphs comes out at 0.0000 eV/atom. The calculation puts the size of the total moment at 0.000 μB per atom. The calculation puts the formation energy at 0.01 eV/atom.

4.
DFT (PBE-GGA) results for Nd2HoMg after structural relaxation.

It has space group Fm-3m (No. 225), with a = 7.926 Å, b = 7.926 Å, c = 7.926 Å, α = 90.00°, β = 90.00° and γ = 90.00°. The distinct sites, in fractional coordinates, are Nd at (0.250, 0.250, 0.250), Ho at (0.000, 0.000, 0.000) and Mg at (0.000, 0.000, 0.500).

The density of states at the Fermi level is 18.011 states/eV/cell. The relative energy among the computed polymorphs comes out at 0.0484 eV/atom. The calculation puts the size of the total moment at 0.000 μB per atom. The calculation puts the formation energy at 0.02 eV/atom.